# Cs4Rb3O

Crystalline Cs4Rb3O at its relaxed geometry (PBE, Alexandria via LeMat-Bulk).

Lattice parameters (Å, degrees): 9.7944 16.6477 8.9377 90.00 90.00 90.00
Closest atoms and distances in Å follow each position.
Space group Pmmn (No. 59, origin choice 2)
Unique sites:
Cs: 0.0319 0.2500 0.1798 x4  1 O 2.67
Cs: 0.2500 0.1180 0.5305 x4  1 O 2.68
Rb: 0.2500 0.5206 0.0152 x4  3 Rb 4.85-4.95, 6 Cs 4.91-5.20
Rb: 0.2500 0.7500 0.3494 x2  2 Rb 4.85, 2 Cs 5.03
O: 0.2500 0.2500 0.3586 x2  4 Cs 2.67-2.68

* D(E_F): 10.6 states/eV per cell
* DFT total energy: -1.78 eV per atom
* formation energy without anion corrections: -366 meV per atom